No. 1
A relaxed structure of RbTcOF2, computed with PBE-GGA.

a = 4.392 Å, b = 4.392 Å, c = 3.828 Å
α = 90.00°, β = 90.00°, γ = 90.00°
Atoms (fractional coordinates):
Rb: 0.000 0.000 0.000
Tc: 0.500 0.500 0.500
O: 0.500 0.500 0.000
F: 0.000 0.500 0.500
F: 0.500 0.000 0.500

Calculated values
E_form (uncorrected) ... -1.788 eV/atom
Magnetization ... 0.0 μB per cell

=====

No. 2
A relaxed structure of Rb2TcOF5, computed with PBE-GGA.

a = 6.131 Å, b = 6.131 Å, c = 6.131 Å
α = 116.25°, β = 116.25°, γ = 96.63°
Atoms (fractional coordinates):
Rb: 0.000 0.500 0.500
Rb: 0.500 0.000 0.500
Tc: 0.232 0.232 0.000
O: 0.026 0.026 0.000
F: 0.041 0.041 0.564
F: 0.041 0.477 0.000
F: 0.473 0.473 0.000
F: 0.477 0.041 0.000
F: 0.477 0.477 0.436

Calculated values
E_form (uncorrected) ... -2.352 eV/atom
Magnetization ... 0.0 μB per cell

=====

No. 3
A relaxed structure of Rb5TcO4F2, computed with PBE-GGA.

a = 8.044 Å, b = 6.240 Å, c = 6.240 Å
α = 114.94°, β = 90.00°, γ = 90.00°
Atoms (fractional coordinates):
Rb: 0.000 0.000 0.000
Rb: 0.262 0.305 0.675
Rb: 0.262 0.675 0.305
Rb: 0.738 0.305 0.675
Rb: 0.738 0.675 0.305
Tc: 0.500 0.001 0.001
O: 0.316 0.168 0.168
O: 0.500 0.692 0.973
O: 0.500 0.973 0.692
O: 0.684 0.168 0.168
F: 0.000 0.543 0.966
F: 0.000 0.966 0.543

Calculated values
E_form (uncorrected) ... -1.887 eV/atom
Magnetization ... 2.0 μB per cell

=====

No. 4
A relaxed structure of RbTeO2F, computed with PBE-GGA.

a = 4.207 Å, b = 4.207 Å, c = 4.793 Å
α = 90.00°, β = 90.00°, γ = 90.00°
Atoms (fractional coordinates):
Rb: 0.000 0.000 0.000
Te: 0.500 0.500 0.500
O: 0.000 0.500 0.500
O: 0.500 0.000 0.500
F: 0.500 0.500 0.000

Calculated values
E_form (uncorrected) ... -1.504 eV/atom
Magnetization ... 0.0 μB per cell

=====

No. 5
A relaxed structure of RbTeO2F, computed with PBE-GGA.

a = 4.603 Å, b = 4.603 Å, c = 4.749 Å
α = 90.00°, β = 90.00°, γ = 90.00°
Atoms (fractional coordinates):
Rb: 0.000 0.000 0.000
Te: 0.500 0.500 0.500
O: 0.000 0.500 0.000
O: 0.500 0.000 0.000
F: 0.000 0.000 0.500

Calculated values
E_form (uncorrected) ... 0.478 eV/atom
Magnetization ... 0.1 μB per cell

=====

No. 6
A relaxed structure of RbTeOF2, computed with PBE-GGA.

a = 4.959 Å, b = 4.959 Å, c = 4.481 Å
α = 90.00°, β = 90.00°, γ = 90.00°
Atoms (fractional coordinates):
Rb: 0.000 0.000 0.000
Te: 0.500 0.500 0.500
O: 0.000 0.000 0.500
F: 0.000 0.500 0.000
F: 0.500 0.000 0.000

Calculated values
E_form (uncorrected) ... -0.178 eV/atom
Magnetization ... 2.0 μB per cell

=====

No. 7
A relaxed structure of RbTeOF2, computed with PBE-GGA.

a = 4.863 Å, b = 4.863 Å, c = 4.145 Å
α = 90.00°, β = 90.00°, γ = 90.00°
Atoms (fractional coordinates):
Rb: 0.000 0.000 0.000
Te: 0.500 0.500 0.500
O: 0.500 0.500 0.000
F: 0.000 0.500 0.500
F: 0.500 0.000 0.500

Calculated values
E_form (uncorrected) ... -1.684 eV/atom
Magnetization ... 0.0 μB per cell

=====

No. 8
A relaxed structure of Rb2TeOF5, computed with PBE-GGA.

a = 6.504 Å, b = 6.504 Å, c = 6.504 Å
α = 123.08°, β = 123.08°, γ = 84.74°
Atoms (fractional coordinates):
Rb: 0.000 0.500 0.500
Rb: 0.500 0.000 0.500
Te: 0.247 0.247 0.000
O: 0.055 0.055 0.000
F: 0.035 0.035 0.537
F: 0.035 0.498 0.000
F: 0.472 0.472 0.000
F: 0.498 0.035 0.000
F: 0.498 0.498 0.463

Calculated values
E_form (uncorrected) ... -2.196 eV/atom
Magnetization ... 1.0 μB per cell

=====

No. 9
A relaxed structure of Rb2TiOF5, computed with PBE-GGA.

a = 7.139 Å, b = 7.139 Å, c = 7.790 Å
α = 90.00°, β = 90.00°, γ = 82.33°
Atoms (fractional coordinates):
Rb: 0.034 0.334 0.250
Rb: 0.334 0.034 0.750
Rb: 0.666 0.966 0.250
Rb: 0.966 0.666 0.750
Ti: 0.500 0.500 0.000
Ti: 0.500 0.500 0.500
O: 0.056 0.944 0.250
O: 0.944 0.056 0.750
F: 0.308 0.692 0.555
F: 0.308 0.692 0.945
F: 0.324 0.324 0.000
F: 0.324 0.324 0.500
F: 0.454 0.546 0.250
F: 0.546 0.454 0.750
F: 0.676 0.676 0.000
F: 0.676 0.676 0.500
F: 0.692 0.308 0.055
F: 0.692 0.308 0.445

Calculated values
E_form (uncorrected) ... -2.632 eV/atom
Magnetization ... 2.7 μB per cell

=====

No. 10
A relaxed structure of RbTiOF2, computed with PBE-GGA.

a = 4.311 Å, b = 4.311 Å, c = 3.866 Å
α = 90.00°, β = 90.00°, γ = 90.00°
Atoms (fractional coordinates):
Rb: 0.000 0.000 0.000
Ti: 0.500 0.500 0.500
O: 0.500 0.500 0.000
F: 0.000 0.500 0.500
F: 0.500 0.000 0.500

Calculated values
E_form (uncorrected) ... -2.845 eV/atom
Magnetization ... 1.0 μB per cell

=====

No. 11
A relaxed structure of RbTiOF2, computed with PBE-GGA.

a = 4.810 Å, b = 4.810 Å, c = 4.396 Å
α = 90.00°, β = 90.00°, γ = 90.00°
Atoms (fractional coordinates):
Rb: 0.000 0.000 0.000
Ti: 0.500 0.500 0.500
O: 0.000 0.000 0.500
F: 0.000 0.500 0.000
F: 0.500 0.000 0.000

Calculated values
E_form (uncorrected) ... -0.497 eV/atom
Magnetization ... 2.0 μB per cell

=====

No. 12
A relaxed structure of RbTiZnOF5, computed with PBE-GGA.

a = 7.413 Å, b = 7.413 Å, c = 7.413 Å
α = 121.06°, β = 120.77°, γ = 88.43°
Atoms (fractional coordinates):
Rb: 0.369 0.119 0.250
Rb: 0.631 0.881 0.750
Ti: 0.000 0.000 0.500
Ti: 0.000 0.500 0.000
Zn: 0.000 0.500 0.500
Zn: 0.500 0.500 0.000
O: 0.033 0.783 0.250
O: 0.967 0.217 0.750
F: 0.063 0.404 0.222
F: 0.063 0.840 0.658
F: 0.318 0.160 0.722
F: 0.318 0.596 0.158
F: 0.326 0.576 0.750
F: 0.674 0.424 0.250
F: 0.682 0.404 0.842
F: 0.682 0.840 0.278
F: 0.937 0.160 0.342
F: 0.937 0.596 0.778

Calculated values
E_form (uncorrected) ... -2.879 eV/atom
Magnetization ... 0.1 μB per cell

=====

No. 13
A relaxed structure of RbTlO2F, computed with PBE-GGA.

a = 4.484 Å, b = 4.484 Å, c = 5.269 Å
α = 90.00°, β = 90.00°, γ = 90.00°
Atoms (fractional coordinates):
Rb: 0.000 0.000 0.000
Tl: 0.500 0.500 0.500
O: 0.000 0.500 0.000
O: 0.500 0.000 0.000
F: 0.000 0.000 0.500

Calculated values
E_form (uncorrected) ... -0.069 eV/atom
Magnetization ... 1.0 μB per cell

=====

No. 14
A relaxed structure of RbTlO2F, computed with PBE-GGA.

a = 4.286 Å, b = 4.286 Å, c = 4.831 Å
α = 90.00°, β = 90.00°, γ = 90.00°
Atoms (fractional coordinates):
Rb: 0.000 0.000 0.000
Tl: 0.500 0.500 0.500
O: 0.000 0.500 0.500
O: 0.500 0.000 0.500
F: 0.500 0.500 0.000

Calculated values
E_form (uncorrected) ... -1.085 eV/atom
Magnetization ... 0.6 μB per cell

=====

No. 15
A relaxed structure of Rb2TlOF6, computed with PBE-GGA.

a = 6.311 Å, b = 6.311 Å, c = 6.311 Å
α = 120.07°, β = 120.07°, γ = 89.87°
Atoms (fractional coordinates):
Rb: 0.250 0.750 0.500
Rb: 0.750 0.250 0.500
Tl: 0.000 0.000 0.000
O: 0.500 0.500 0.000
F: 0.244 0.244 0.000
F: 0.245 0.245 0.489
F: 0.245 0.755 0.000
F: 0.755 0.245 0.000
F: 0.755 0.755 0.511
F: 0.756 0.756 0.000

Calculated values
E_form (uncorrected) ... -1.663 eV/atom
Magnetization ... 3.0 μB per cell

=====

No. 16
A relaxed structure of Rb2TlOF3, computed with PBE-GGA.

a = 7.904 Å, b = 7.904 Å, c = 7.904 Å
α = 149.53°, β = 145.39°, γ = 46.77°
Atoms (fractional coordinates):
Rb: 0.147 0.147 0.000
Rb: 0.853 0.853 0.000
Tl: 0.500 0.500 0.000
O: 0.500 0.000 0.500
F: 0.000 0.500 0.500
F: 0.339 0.339 0.000
F: 0.661 0.661 0.000

Calculated values
E_form (uncorrected) ... -2.026 eV/atom
Magnetization ... 0.0 μB per cell

=====

No. 17
A relaxed structure of Rb2TmOF3, computed with PBE-GGA.

a = 7.792 Å, b = 7.792 Å, c = 7.792 Å
α = 147.73°, β = 146.88°, γ = 46.92°
Atoms (fractional coordinates):
Rb: 0.147 0.147 0.000
Rb: 0.853 0.853 0.000
Tm: 0.500 0.500 0.000
O: 0.500 0.000 0.500
F: 0.000 0.500 0.500
F: 0.345 0.345 0.000
F: 0.655 0.655 0.000

Calculated values
E_form (uncorrected) ... -3.157 eV/atom
Magnetization ... 0.0 μB per cell

=====

No. 18
A relaxed structure of RbU2O5F, computed with PBE-GGA.

a = 4.264 Å, b = 4.264 Å, c = 8.965 Å
α = 90.00°, β = 90.00°, γ = 90.00°
Atoms (fractional coordinates):
Rb: 0.000 0.000 0.000
U: 0.500 0.500 0.244
U: 0.500 0.500 0.756
O: 0.000 0.500 0.238
O: 0.000 0.500 0.762
O: 0.500 0.000 0.238
O: 0.500 0.000 0.762
O: 0.500 0.500 0.000
F: 0.500 0.500 0.500

Calculated values
E_form (uncorrected) ... -3.085 eV/atom
Magnetization ... 2.0 μB per cell

=====

No. 19
A relaxed structure of Rb2UO3F3, computed with PBE-GGA.

a = 7.038 Å, b = 7.038 Å, c = 3.440 Å
α = 90.00°, β = 90.00°, γ = 120.00°
Atoms (fractional coordinates):
Rb: 0.333 0.667 0.000
Rb: 0.667 0.333 0.000
U: 0.000 0.000 0.500
O: 0.000 0.801 0.000
O: 0.199 0.199 0.000
O: 0.801 0.000 0.000
F: 0.000 0.332 0.500
F: 0.332 0.000 0.500
F: 0.668 0.668 0.500

Calculated values
E_form (uncorrected) ... -2.560 eV/atom
Magnetization ... 1.0 μB per cell